PBE GaAu2N, optimized geometry; E above lowest polymorph = 116.1 kJ/mol of formula units; total moment = 0.0 μB per cell; uncorrected formation energy = 0.883 eV per atom
1.0
0.000 3.089 3.089
3.089 0.000 3.089
3.089 3.089 0.000
Au Ga N
2 1 1
Direct
0.250 0.250 0.250
0.750 0.750 0.750
0.500 0.500 0.500
0.000 0.000 0.000


PBE Ga3AuN, optimized geometry; E above lowest polymorph = 340.1 kJ/mol of formula units; total moment = 1.3 μB per cell; uncorrected formation energy = 1.040 eV per atom
1.0
4.953 0.000 0.000
0.000 4.953 0.000
0.000 0.000 4.953
Au Ga N
1 3 1
Direct
0.000 0.000 0.000
0.000 0.500 0.000
0.000 0.000 0.500
0.500 0.000 0.000
0.500 0.500 0.500


PBE GaAuN, optimized geometry; total moment = 0.0 μB per cell; uncorrected formation energy = 0.801 eV per atom
1.0
0.425 -1.870 3.207
2.459 -2.804 0.226
9.126 0.933 5.933
N Au Ga
2 2 2
Direct
0.402 0.402 0.961
0.350 0.350 0.347
0.709 0.709 0.321
0.044 0.044 0.986
0.133 0.133 0.565
0.621 0.621 0.743


PBE GaAuNO2, optimized geometry; total moment = 2.9 μB per cell; uncorrected formation energy = 0.467 eV per atom
1.0
-0.862 -3.536 1.427
3.417 -1.366 -1.320
1.723 0.974 3.453
Au O Ga N
1 2 1 1
Direct
0.500 0.500 0.500
0.000 0.500 0.000
0.500 0.000 0.000
0.000 0.000 0.000
0.000 0.000 0.500


PBE GaAuNO2, optimized geometry; total moment = 0.0 μB per cell; uncorrected formation energy = 0.880 eV per atom
1.0
-3.030 0.160 2.845
-0.196 -4.154 0.025
2.670 -0.109 2.849
Au O Ga N
1 2 1 1
Direct
0.000 0.000 0.000
0.000 0.500 0.000
0.500 0.000 0.000
0.500 0.500 0.500
0.000 0.000 0.500


PBE GaOs2AuN, optimized geometry; total moment = 3.5 μB per cell; uncorrected formation energy = 2.871 eV per atom
1.0
4.611 0.000 0.000
0.000 4.663 0.000
0.000 0.000 4.611
Os Au Ga N
2 1 1 1
Direct
0.000 0.000 0.500
0.500 0.000 0.000
0.000 0.500 0.000
0.000 0.000 0.000
0.500 0.500 0.500


PBE PaGaAuN, optimized geometry; total moment = 0.0 μB per cell; uncorrected formation energy = -0.958 eV per atom
1.0
-2.025 2.442 2.568
-2.681 0.878 -2.950
-4.852 -6.596 2.446
Pa Ga Au N
2 2 2 2
Direct
0.000 0.500 0.873
0.500 0.000 0.127
0.000 0.000 0.500
0.500 0.500 0.500
0.500 0.000 0.695
0.000 0.500 0.305
0.500 0.500 0.000
0.000 0.000 0.000


PBE Rb2GaAuN, optimized geometry; total moment = 1.7 μB per cell; uncorrected formation energy = 0.733 eV per atom
1.0
6.661 0.000 0.000
0.000 4.842 0.000
0.000 0.000 6.661
Au Ga Rb N
1 1 2 1
Direct
0.000 0.000 0.000
0.000 0.500 0.000
0.000 0.000 0.500
0.500 0.000 0.000
0.500 0.500 0.500